Record 1
A geometry-optimized K3Sb structure. Source: Alexandria via LeMat-Bulk, functional PBE.

Cell: 6.0342 6.0354 6.0322 Å, 120.02 120.01 90.00°
Fractional coordinates of all 4 atoms:
Sb 0.0000 0.9168 0.0000
K 0.2500 0.6665 0.5000
K 0.5000 0.4169 0.0000
K 0.7500 0.1665 0.5000

Results
Total moment = 0.00 μB/atom
V = 155.3 Å³/cell
SG = No. 139
VASP energy = -2.2395 eV/atom
Excess energy over the best structure of this formula in the dataset = 29 meV/atom

---

Record 2
A geometry-optimized SrCe3Fe structure. Source: Alexandria via LeMat-Bulk, functional PBE.

Cell: 5.3466 5.3466 5.3466 Å, 90.00 90.00 90.00°
Last column: magnetic moment on the atom in μB.
Fractional coordinates of all 5 atoms:
Sr 0.5000 0.5000 0.5000  0.05
Fe 0.0000 0.0000 0.0000  -0.30
Ce 0.0000 0.5000 0.0000  0.70
Ce 0.0000 0.0000 0.5000  0.70
Ce 0.5000 0.0000 0.0000  0.70

Results
Formation energy = 0.167 eV/atom
Total moment = 0.54 μB/atom
V = 152.8 Å³/cell
SG = No. 221
VASP energy = -5.4219 eV/atom

---

Record 3
A geometry-optimized Ac2HfGe3 structure. Source: Alexandria via LeMat-Bulk, functional PBE.

Cell: 8.1656 6.7049 6.7049 Å, 72.27 79.17 79.17°
Fractional coordinates of all 12 atoms:
Ac 0.6461 0.1670 0.5270
Ac 0.1461 0.5270 0.1670
Ac 0.8539 0.4730 0.8330
Ac 0.3539 0.8330 0.4730
Hf 0.7500 0.9414 0.0586
Hf 0.2500 0.0586 0.9414
Ge 0.2500 0.3838 0.6162
Ge 0.7500 0.6162 0.3838
Ge 0.0026 0.9609 0.7392
Ge 0.4974 0.2608 0.0391
Ge 0.5026 0.7392 0.9609
Ge 0.9974 0.0391 0.2608

Results
Formation energy = -0.500 eV/atom
Total moment = 0.00 μB/atom
V = 340.1 Å³/cell
SG = No. 15
VASP energy = -5.8374 eV/atom

---

Record 4
A geometry-optimized CaGaFe2 structure. Source: Alexandria via LeMat-Bulk, functional PBE.

Cell: 4.4640 4.4640 9.2572 Å, 76.05 76.05 90.00°
Last column: magnetic moment on the atom in μB.
Fractional coordinates of all 8 atoms:
Ca 0.5000 0.5000 0.0000  -0.07
Ca 0.2500 0.7500 0.5000  -0.07
Fe 0.8687 0.1250 0.2500  2.36
Fe 0.8813 0.6250 0.2500  2.36
Fe 0.3750 0.1313 0.7500  2.36
Fe 0.8750 0.1187 0.7500  2.36
Ga 0.0000 0.0000 0.0000  -0.13
Ga 0.7500 0.2500 0.5000  -0.13

Results
Formation energy = 0.350 eV/atom
Total moment = 1.08 μB/atom
V = 173.4 Å³/cell
SG = No. 122
VASP energy = -5.1383 eV/atom